Here is a relaxed structure of MgMn2Pb from Alexandria via LeMat-Bulk. Energies are from PBE.

For the density of states at the Fermi level, the calculation gives 4.0 states/eV/f.u. The calculation puts the calculated formation energy at 31.8 kJ per mole of atoms. Its calculated volume is 18.26 A^3/atom.

It has space group I4/mmm (No. 139), with a = 4.203 Å, b = 4.203 Å, c = 8.267 Å, α = 90.00°, β = 90.00° and γ = 90.00°. The distinct sites, in fractional coordinates, are Mg at (0.000, 0.000, 0.000), Mn at (0.000, 0.500, 0.250) and Pb at (0.000, 0.000, 0.500).